# 1
Below is an optimized crystal structure of Ac2CdI, with properties calculated at the GGA-PBE level.

It has space group R3m (No. 160, hexagonal axes), with a = 4.1096 Å, b = 4.1096 Å, c = 30.9448 Å, α = 90.00°, β = 90.00° and γ = 120.00°. Symmetry generates all atoms from Ac at (0.0000, 0.0000, 0.0000), Ac at (0.0000, 0.0000, 0.1722), Cd at (0.0000, 0.0000, 0.5862) and I at (0.0000, 0.0000, 0.4196).

The energy above the most stable polymorph in this dataset comes out at 0 meV per atom. The calculation puts the uncorrected formation energy at -0.57 eV per atom. The calculation puts the energy at -3.24 eV per atom. The value obtained for the volume is 452.6 Å³ per cell.



# 2
Below is an optimized crystal structure of KTaTl2, with properties calculated at the GGA-PBE level.

It has space group Pmmm (No. 47), with a = 3.049 Å, b = 5.635 Å, c = 6.587 Å, α = 90.00°, β = 90.00° and γ = 90.00°. Symmetry generates all atoms from K at (0.000, 0.000, 0.000), Ta at (0.500, 0.000, 0.500), Tl at (0.000, 0.500, 0.500) and Tl at (0.500, 0.500, 0.000).

The energy above the most stable polymorph in this dataset comes out at 510 meV per atom. The calculation puts the energy at -3.49 eV per atom. The value obtained for the volume is 113.1 Å³ per cell.